1.
H3AuF: single point on PBEsol structure, SCAN.

```
H3AuF
1.0
3.4651 0.0000 0.0000
0.0000 3.4651 0.0000
0.0000 0.0000 3.4651
H Au F
3 1 1
direct
0.0000 0.0000 0.5000
0.0000 0.5000 0.0000
0.5000 0.0000 0.0000
0.0000 0.0000 0.0000
0.5000 0.5000 0.5000
```

* electronic total energy: -16.552 eV per atom
* size of the total moment: 0.01 μB/f.u.
* volume: 8.3 Å³ per atom



2.
SmAsS: single point on PBEsol structure, SCAN.

```
SmAsS
1.0
17.0830 0.0000 0.0000
0.0000 3.8315 0.0000
0.0000 0.0000 3.8700
Sm As S
4 4 4
direct
0.1456 0.2500 0.2344
0.3544 0.7500 0.7344
0.6456 0.2500 0.2656
0.8544 0.7500 0.7656
0.0013 0.2500 0.7178
0.4987 0.7500 0.2178
0.5013 0.2500 0.7822
0.9987 0.7500 0.2822
0.1867 0.7500 0.7363
0.3133 0.2500 0.2363
0.6867 0.7500 0.7637
0.8133 0.2500 0.2637
```

* energy relative to the elements, uncorrected: -1.804 eV/atom
* size of the total moment: 0.00 μB/f.u.
* volume: 21.1 Å³ per atom



3.
Mg2CrTe: single point on PBEsol structure, SCAN.

```
Mg2CrTe
1.0
4.4887 0.0000 0.0000
0.0000 4.4887 0.0000
0.0000 0.0000 4.0956
Mg Cr Te
2 1 1
direct
0.0000 0.5000 0.0000
0.5000 0.0000 0.0000
0.0000 0.0000 0.5000
0.5000 0.5000 0.5000
```

* energy relative to the elements, uncorrected: -0.081 eV/atom
* size of the total moment: 4.51 μB/f.u.
* volume: 20.6 Å³ per atom



4.
BaTiSe2N: single point on PBEsol structure, SCAN.

```
BaTiSe2N
1.0
5.8182 0.0000 0.0000
0.0000 5.8182 0.0000
0.0000 0.0000 4.3946
Ba Ti Se N
1 1 2 1
direct
0.0000 0.0000 0.0000
0.5000 0.5000 0.5000
0.0000 0.5000 0.0000
0.5000 0.0000 0.0000
0.0000 0.0000 0.5000
```

* energy relative to the elements, uncorrected: 0.876 eV/atom
* size of the total moment: 0.11 μB/f.u.
* volume: 29.8 Å³ per atom



5.
MnSiAg: single point on PBEsol structure, SCAN.

```
MnSiAg
1.0
5.8031 0.0000 0.0000
0.0000 5.8031 0.0000
0.0000 0.0000 5.8031
Mn Si Ag
4 4 4
direct
0.0000 0.0000 0.0000
0.0000 0.5000 0.5000
0.5000 0.0000 0.5000
0.5000 0.5000 0.0000
0.2500 0.2500 0.7500
0.2500 0.7500 0.2500
0.7500 0.2500 0.2500
0.7500 0.7500 0.7500
0.2500 0.2500 0.2500
0.2500 0.7500 0.7500
0.7500 0.2500 0.7500
0.7500 0.7500 0.2500
```

* energy relative to the elements, uncorrected: 0.226 eV/atom
* energy relative to the lowest polymorph listed for this composition: 194 meV/atom
* size of the total moment: 3.24 μB/f.u.
* volume: 16.3 Å³ per atom



6.
NbGaS2Cl: single point on PBEsol structure, SCAN.

```
NbGaS2Cl
1.0
4.7901 0.0000 0.0000
0.0000 4.7901 0.0000
0.0000 0.0000 4.8567
Nb Ga S Cl
1 1 2 1
direct
0.0000 0.0000 0.0000
0.5000 0.5000 0.5000
0.0000 0.5000 0.0000
0.5000 0.0000 0.0000
0.0000 0.0000 0.5000
```

* energy relative to the elements, uncorrected: -0.620 eV/atom
* size of the total moment: 0.00 μB/f.u.
* volume: 22.3 Å³ per atom



7.
AlAsCl2: single point on PBEsol structure, SCAN.

```
AlAsCl2
1.0
4.2521 0.0000 0.0000
0.0000 4.2521 0.0000
0.0000 0.0000 4.1909
Al As Cl
1 1 2
direct
0.0000 0.0000 0.0000
0.5000 0.5000 0.0000
0.0000 0.5000 0.5000
0.5000 0.0000 0.5000
```

* energy relative to the elements, uncorrected: 0.211 eV/atom
* energy relative to the lowest polymorph listed for this composition: 436 meV/atom
* size of the total moment: 0.00 μB/f.u.
* volume: 18.9 Å³ per atom



8.
LaTc3F: single point on PBEsol structure, SCAN.

```
LaTc3F
1.0
4.6923 0.0000 0.0000
0.0000 4.6923 0.0000
0.0000 0.0000 4.6923
La Tc F
1 3 1
direct
0.0000 0.0000 0.0000
0.0000 0.0000 0.5000
0.0000 0.5000 0.0000
0.5000 0.0000 0.0000
0.5000 0.5000 0.5000
```

* energy relative to the elements, uncorrected: 2.147 eV/atom
* size of the total moment: 4.25 μB/f.u.
* volume: 20.7 Å³ per atom



9.
LaMgFeMo2: single point on PBEsol structure, SCAN.

```
LaMgFeMo2
1.0
4.7863 0.0000 0.0000
0.0000 4.7863 0.0000
0.0000 0.0000 4.4860
La Mg Fe Mo
1 1 1 2
direct
0.0000 0.0000 0.0000
0.5000 0.5000 0.5000
0.0000 0.0000 0.5000
0.0000 0.5000 0.0000
0.5000 0.0000 0.0000
```

* ΔE_f: 1934 meV/atom
* size of the total moment: 3.87 μB/f.u.
* volume: 20.6 Å³ per atom



10.
CoIr2Rh: single point on PBEsol structure, SCAN.

```
CoIr2Rh
1.0
8.7498 0.0000 0.0000
0.0000 2.6657 0.0000
-0.8249 0.0000 4.4722
Co Ir Rh
2 4 2
direct
0.0000 0.0000 0.0000
0.5000 0.5000 0.0000
0.0025 0.5000 0.5033
0.2537 0.0000 0.7517
0.5025 0.0000 0.5033
0.7537 0.5000 0.7517
0.2489 0.5000 0.2421
0.7489 0.0000 0.2421
```

* energy relative to the lowest polymorph listed for this composition: 33 meV/atom
* ΔE_f: 4 meV/atom
* size of the total moment: 2.17 μB/f.u.
* volume: 13.0 Å³ per atom



11.
MoAsBr2: single point on PBEsol structure, SCAN.

```
MoAsBr2
1.0
6.1785 0.0000 0.0000
0.0000 9.0299 0.0000
-2.9823 0.0000 3.1954
Mo As Br
2 2 4
direct
0.0000 0.0000 0.0000
0.5000 0.5000 0.0000
0.0000 0.5000 0.0000
0.5000 0.0000 0.0000
0.2500 0.2500 0.5000
0.2500 0.7500 0.5000
0.7500 0.2500 0.5000
0.7500 0.7500 0.5000
```

* energy relative to the elements, uncorrected: 0.579 eV/atom
* energy relative to the lowest polymorph listed for this composition: 526 meV/atom
* size of the total moment: 3.48 μB/f.u.
* volume: 22.3 Å³ per atom



12.
CdCu2B2O6: single point on PBEsol structure, SCAN.

```
CdCu2B2O6
1.0
3.4403 0.0000 0.0000
0.0000 15.1248 0.0000
-0.5889 0.0000 9.2950
Cd Cu B O
4 8 8 24
direct
0.2102 0.1329 0.3865
0.2102 0.3671 0.8865
0.7898 0.6329 0.1135
0.7898 0.8671 0.6135
0.3090 0.7460 0.8664
0.3090 0.7540 0.3664
0.3120 0.5409 0.3631
0.3120 0.9591 0.8631
0.6880 0.0409 0.1369
0.6880 0.4591 0.6369
0.6910 0.2460 0.6336
0.6910 0.2540 0.1336
0.1025 0.5883 0.8149
0.1025 0.9117 0.3149
0.2134 0.1516 0.9205
0.2134 0.3484 0.4205
0.7866 0.6516 0.5795
0.7866 0.8484 0.0795
0.8975 0.0883 0.6851
0.8975 0.4117 0.1851
0.0030 0.1563 0.7852
0.0030 0.3437 0.2852
0.0307 0.5023 0.7897
0.0307 0.9977 0.2897
0.2651 0.2291 0.9927
0.2651 0.2709 0.4927
0.2798 0.6238 0.9383
0.2798 0.8762 0.4383
0.3135 0.6493 0.2659
0.3135 0.8507 0.7659
0.3489 0.0706 0.9685
0.3489 0.4294 0.4685
0.6511 0.5706 0.5315
0.6511 0.9294 0.0315
0.6865 0.1493 0.2341
0.6865 0.3507 0.7341
0.7202 0.1238 0.5617
0.7202 0.3762 0.0617
0.7349 0.7291 0.5073
0.7349 0.7709 0.0073
0.9693 0.0023 0.7103
0.9693 0.4977 0.2103
0.9970 0.6563 0.7148
0.9970 0.8437 0.2148
```

* energy relative to the elements, uncorrected: -1.684 eV/atom
* size of the total moment: 1.01 μB/f.u.
* volume: 11.0 Å³ per atom



13.
La2CoO4: single point on PBEsol structure, SCAN.

```
La2CoO4
1.0
3.7692 0.0000 0.0000
0.0000 3.7692 0.0000
0.0000 0.0000 12.6559
La Co O
4 2 8
direct
0.0000 0.0000 0.1370
0.0000 0.0000 0.8630
0.5000 0.5000 0.3630
0.5000 0.5000 0.6370
0.0000 0.0000 0.5000
0.5000 0.5000 0.0000
0.0000 0.0000 0.3222
0.0000 0.0000 0.6778
0.0000 0.5000 0.0000
0.0000 0.5000 0.5000
0.5000 0.0000 0.0000
0.5000 0.0000 0.5000
0.5000 0.5000 0.1778
0.5000 0.5000 0.8222
```

* energy relative to the elements, uncorrected: -3.004 eV/atom
* size of the total moment: 1.05 μB/f.u.
* volume: 12.8 Å³ per atom



14.
NbIrSeN2: single point on PBEsol structure, SCAN.

```
NbIrSeN2
1.0
3.6896 0.0000 0.0000
0.0000 3.6896 0.0000
0.0000 0.0000 7.0875
Nb Ir Se N
1 1 1 2
direct
0.0000 0.0000 0.0000
0.5000 0.5000 0.5000
0.5000 0.5000 0.0000
0.0000 0.5000 0.5000
0.5000 0.0000 0.5000
```

* energy relative to the elements, uncorrected: 0.875 eV/atom
* size of the total moment: 2.34 μB/f.u.
* volume: 19.3 Å³ per atom



15.
Zr2MnHg: single point on PBEsol structure, SCAN.

```
Zr2MnHg
1.0
3.1541 0.0000 0.0000
0.0000 3.1541 0.0000
0.0000 0.0000 7.3244
Zr Mn Hg
2 1 1
direct
0.0000 0.0000 0.2089
0.0000 0.0000 0.7911
0.5000 0.5000 0.0000
0.5000 0.5000 0.5000
```

* ΔE_f: -240 meV/atom
* size of the total moment: 0.00 μB/f.u.
* volume: 18.2 Å³ per atom



16.
CeEuZn2: single point on PBEsol structure, SCAN.

```
CeEuZn2
1.0
7.1917 0.0000 0.0000
0.0000 7.1917 0.0000
0.0000 0.0000 7.1917
Ce Eu Zn
4 4 8
direct
0.0000 0.0000 0.0000
0.0000 0.5000 0.5000
0.5000 0.0000 0.5000
0.5000 0.5000 0.0000
0.0000 0.0000 0.5000
0.0000 0.5000 0.0000
0.5000 0.0000 0.0000
0.5000 0.5000 0.5000
0.2500 0.2500 0.2500
0.2500 0.2500 0.7500
0.2500 0.7500 0.2500
0.2500 0.7500 0.7500
0.7500 0.2500 0.2500
0.7500 0.2500 0.7500
0.7500 0.7500 0.2500
0.7500 0.7500 0.7500
```

* ΔE_f: -239 meV/atom
* size of the total moment: 8.28 μB/f.u.
* volume: 23.2 Å³ per atom



17.
Ga2Pb2Au: single point on PBEsol structure, SCAN.

```
Ga2Pb2Au
1.0
6.6420 0.0000 0.0000
0.0000 6.6420 0.0000
0.0000 0.0000 5.1137
Ga Pb Au
4 4 2
direct
0.1354 0.3646 0.0000
0.3646 0.8646 0.0000
0.6354 0.1354 0.0000
0.8646 0.6354 0.0000
0.1769 0.6769 0.5000
0.3231 0.1769 0.5000
0.6769 0.8231 0.5000
0.8231 0.3231 0.5000
0.0000 0.0000 0.0000
0.5000 0.5000 0.0000
```

* ΔE_f: -39 meV/atom
* size of the total moment: 0.00 μB/f.u.
* volume: 22.6 Å³ per atom



18.
CsAg2P: single point on PBEsol structure, SCAN.

```
CsAg2P
1.0
5.8352 0.0000 0.0000
0.0000 5.8352 0.0000
0.0000 0.0000 14.8346
Cs Ag P
4 8 4
direct
0.0000 0.2500 0.3750
0.0000 0.7500 0.6250
0.5000 0.2500 0.1250
0.5000 0.7500 0.8750
0.0000 0.0000 0.0000
0.0000 0.5000 0.0000
0.2500 0.2500 0.7500
0.2500 0.7500 0.2500
0.5000 0.0000 0.5000
0.5000 0.5000 0.5000
0.7500 0.2500 0.7500
0.7500 0.7500 0.2500
0.0000 0.2500 0.8750
0.0000 0.7500 0.1250
0.5000 0.2500 0.6250
0.5000 0.7500 0.3750
```

* ΔE_f: -236 meV/atom
* size of the total moment: 0.00 μB/f.u.
* volume: 31.6 Å³ per atom



19.
LiLaCr2: single point on PBEsol structure, SCAN.

```
LiLaCr2
1.0
2.9654 0.0000 0.0000
0.0000 4.6436 0.0000
-0.7480 0.0000 5.0818
Li La Cr
1 1 2
direct
0.0000 0.0000 0.0000
0.5000 0.0000 0.5000
0.1848 0.5000 0.8480
0.8152 0.5000 0.1520
```

* energy relative to the lowest polymorph listed for this composition: 631 meV/atom
* ΔE_f: 830 meV/atom
* size of the total moment: 0.00 μB/f.u.
* volume: 17.5 Å³ per atom



20.
MgP2Cl: single point on PBEsol structure, SCAN.

```
MgP2Cl
1.0
5.4116 0.0000 0.0000
0.0000 5.4116 0.0000
0.0000 0.0000 4.9036
Mg P Cl
2 4 2
direct
0.0000 0.0000 0.0000
0.5000 0.5000 0.5000
0.0000 0.5000 0.0000
0.0000 0.5000 0.5000
0.5000 0.0000 0.0000
0.5000 0.0000 0.5000
0.0000 0.0000 0.5000
0.5000 0.5000 0.0000
```

* energy relative to the elements, uncorrected: -0.128 eV/atom
* energy relative to the lowest polymorph listed for this composition: 176 meV/atom
* size of the total moment: 0.00 μB/f.u.
* volume: 18.0 Å³ per atom